A relaxed structure of Er7Rh2Pb2. Source: the Alexandria database, functional PBE.

Total magnetization, μB per cell: 0.0
SG: Cmmm, No. 65
Energy of formation, eV per atom: -0.437
Fermi-level density of states, states/eV/cell: 8.34
E_tot, eV per atom: -5.351

Lattice parameters (Å, degrees): 6.781 7.152 6.781 90.00 105.34 90.00
Positions (direct):
Er (0.500, 0.758, 0.000)
Er (0.000, 0.242, 0.500)
Er (0.000, 0.758, 0.500)
Pb (0.190, 0.500, 0.190)
Er (0.500, 0.242, 0.000)
Er (0.500, 0.770, 0.500)
Rh (0.716, 0.000, 0.284)
Er (0.500, 0.230, 0.500)
Rh (0.284, 0.000, 0.716)
Pb (0.810, 0.500, 0.810)
Er (0.000, 0.000, 0.000)